Entry 1:
Density functional theory data (GGA-PBE) for a relaxed Pr2Y2Cd crystal.

CIF file:
```
data_Pr2Y2Cd
_cell_length_a 3.666
_cell_length_b 3.666
_cell_length_c 23.499
_cell_angle_alpha 90.00
_cell_angle_beta 90.00
_cell_angle_gamma 90.00
_space_group_name_H-M_alt 'I 4/m m m'
_space_group_IT_number 139
_space_group_name_Hall '-I 4 2'
loop_
_atom_site_label
_atom_site_fract_x
_atom_site_fract_y
_atom_site_fract_z
Pr1 0.000 0.000 0.193
Y1 0.000 0.000 0.416
Cd1 0.000 0.000 0.000
```

Entry 2:
Density functional theory data (GGA-PBE) for a relaxed Pr2YCd3 crystal.

CIF file:
```
data_Pr2YCd3
_cell_length_a 5.4282
_cell_length_b 5.4282
_cell_length_c 6.6661
_cell_angle_alpha 90.00
_cell_angle_beta 90.00
_cell_angle_gamma 120.00
_space_group_name_H-M_alt 'P -3 m 1'
_space_group_IT_number 164
_space_group_name_Hall '-P 3 2"'
loop_
_atom_site_label
_atom_site_fract_x
_atom_site_fract_y
_atom_site_fract_z
Pr1 0.3333 0.6667 0.1736
Y1 0.0000 0.0000 0.5000
Cd1 0.0000 0.0000 0.0000
Cd2 0.3333 0.6667 0.6643
```

| no. | VASP energy (eV per atom) |
| --- | --- |
| 1 | -4.807 |
| 2 | -3.452 |